Compound: K2VCl4F2
Source: the Alexandria database
Functional: GGA+U
Structure: relaxed

Cell lengths 5.552, 6.545, 6.545 Å; angles 65.34, 82.15, 82.15 degrees
Each line ends with the local moment (μB).
Positions (direct):
K  0.194  0.666  0.666  0.00
K  0.806  0.334  0.334  0.00
V  0.500  0.000  0.000  1.04
Cl  0.302  0.661  0.144  0.00
Cl  0.698  0.856  0.339  0.00
Cl  0.698  0.339  0.856  0.00
Cl  0.302  0.144  0.661  0.00
F  0.251  0.130  0.130  -0.03
F  0.749  0.870  0.870  -0.03

Total magnetization = 1.07 μB/cell
Calculated volume = 23.7 Å³/atom
Crystal system = monoclinic
Energy = -4.236 eV/atom